# 1
Material: LaZrZn2
Method: DFT, PBE-GGA
State: optimized geometry

a b c (Å): 3.4843 3.4843 27.1214
angles (deg): 90.00 90.00 120.00
Last column: nearest neighbours and their distance in Å.
Space group R-3m (No. 166, hexagonal axes)
Inequivalent atoms, fractional coordinates:
1 La 0.0000 0.0000 0.0000 x3  6 Zn 3.21, 6 La 3.48
2 Zr 0.0000 0.0000 0.5000 x3  6 Zn 2.85
3 Zn 0.0000 0.0000 0.2413 x6  3 Zr 2.85

Summary:
- Magnetization: 0.00 Bohr magnetons per cell
- Fermi-level density of states: 3.8 states/eV/f.u.
- Energy: -0.29431 Ry/atom
- V: 23.76 Å³ per atom
- Relative energy among the computed polymorphs: 243 meV per atom

***

# 2
Material: LaZrZn2
Method: DFT, PBE-GGA
State: optimized geometry

a b c (Å): 3.4587 4.3662 6.2576
angles (deg): 90.00 105.92 90.00
Last column: nearest neighbours and their distance in Å.
Space group Pm (No. 6)
Inequivalent atoms, fractional coordinates:
1 La 0.0000 0.0000 0.0000 x1  7 Zn 3.11-3.36, 2 La 3.46
2 Zr 0.3066 0.5000 0.6166 x1  6 Zn 2.90-2.91
3 Zn 0.6142 0.5000 0.2290 x1  2 Zn 2.65, 2 Zr 2.90
4 Zn 0.7372 0.0000 0.4784 x1  2 Zn 2.65, 4 Zr 2.90-2.91

Summary:
- Magnetization: 0.00 Bohr magnetons per cell
- Fermi-level density of states: 4.0 states/eV/f.u.
- Energy: -0.30591 Ry/atom
- V: 22.72 Å³ per atom
- Relative energy among the computed polymorphs: 85 meV per atom

***

# 3
Material: LaZrZn2
Method: DFT, PBE-GGA
State: optimized geometry

a b c (Å): 5.0708 5.0708 3.4553
angles (deg): 90.00 90.00 90.00
Last column: nearest neighbours and their distance in Å.
Space group P4/mmm (No. 123)
Inequivalent atoms, fractional coordinates:
1 La 0.0000 0.0000 0.0000 x1  8 Zn 3.07
2 Zr 0.5000 0.5000 0.0000 x1  8 Zn 3.07
3 Zn 0.0000 0.5000 0.5000 x2  4 Zr 3.07, 4 La 3.07

Summary:
- Magnetization: 0.00 Bohr magnetons per cell
- Fermi-level density of states: 3.5 states/eV/f.u.
- Energy: -0.30468 Ry/atom
- V: 22.21 Å³ per atom
- Relative energy among the computed polymorphs: 102 meV per atom

***

# 4
Material: LaZr2Zn2
Method: DFT, PBE-GGA
State: optimized geometry

a b c (Å): 4.4636 4.4636 12.2099
angles (deg): 90.00 90.00 90.00
Last column: nearest neighbours and their distance in Å.
Space group I4/mmm (No. 139)
Inequivalent atoms, fractional coordinates:
1 La 0.0000 0.0000 0.0000 x2  8 Zr 3.49, 8 Zn 3.78
2 Zr 0.0000 0.0000 0.3779 x4  4 Zn 2.72, 1 Zr 2.98
3 Zn 0.0000 0.5000 0.2500 x4  4 Zr 2.72

Summary:
- Magnetization: 0.00 Bohr magnetons per cell
- Fermi-level density of states: 4.7 states/eV/f.u.
- Energy: -0.35217 Ry/atom
- V: 24.33 Å³ per atom
- Relative energy among the computed polymorphs: 210 meV per atom

***

# 5
Material: LaZr2Zn2
Method: DFT, PBE-GGA
State: optimized geometry

a b c (Å): 8.4488 8.4488 3.0668
angles (deg): 90.00 90.00 90.00
Last column: nearest neighbours and their distance in Å.
Space group P4/mbm (No. 127)
Inequivalent atoms, fractional coordinates:
1 La 0.0000 0.0000 0.0000 x2  2 La 3.07, 4 Zr 3.34
2 Zr 0.1256 0.3744 0.0000 x4  6 Zn 2.89-2.95, 3 Zr 3.00-3.07
3 Zn 0.1698 0.6698 0.5000 x4  6 Zr 2.89-2.95, 2 Zn 3.07

Summary:
- Magnetization: 0.00 Bohr magnetons per cell
- Fermi-level density of states: 4.6 states/eV/f.u.
- Energy: -0.36762 Ry/atom
- V: 21.89 Å³ per atom
- Relative energy among the computed polymorphs: 0 meV per atom

***

# 6
Material: LaZrZn2
Method: DFT, PBE-GGA
State: optimized geometry

a b c (Å): 8.9821 3.4924 6.4030
angles (deg): 90.00 103.60 90.00
Last column: nearest neighbours and their distance in Å.
Space group C2/m (No. 12)
Inequivalent atoms, fractional coordinates:
1 La 0.0000 0.0000 0.0000 x2  6 Zn 3.22-3.31, 2 La 3.49
2 Zr 0.0000 0.5000 0.5000 x2  6 Zn 2.82-2.83
3 Zn 0.2419 0.0000 0.6814 x4  3 Zr 2.82-2.83, 2 Zn 2.94

Summary:
- Magnetization: 0.00 Bohr magnetons per cell
- Fermi-level density of states: 3.5 states/eV/f.u.
- Energy: -0.29729 Ry/atom
- V: 24.40 Å³ per atom
- Relative energy among the computed polymorphs: 203 meV per atom

***

# 7
Material: LaZrZn3
Method: DFT, PBE-GGA
State: optimized geometry

a b c (Å): 5.1030 5.1030 5.1030
angles (deg): 90.00 90.00 90.00
Last column: nearest neighbours and their distance in Å.
Space group Pm-3m (No. 221)
Inequivalent atoms, fractional coordinates:
1 La 0.0000 0.0000 0.0000 x1  12 Zn 3.61
2 Zr 0.5000 0.5000 0.5000 x1  6 Zn 2.55
3 Zn 0.0000 0.5000 0.5000 x3  2 Zr 2.55

Summary:
- Magnetization: 0.44 Bohr magnetons per cell
- Fermi-level density of states: 6.5 states/eV/f.u.
- Energy: -0.23016 Ry/atom
- V: 26.58 Å³ per atom
- Relative energy among the computed polymorphs: 0 meV per atom

***

# 8
Material: LaZrZn2
Method: DFT, PBE-GGA
State: optimized geometry

a b c (Å): 8.0462 8.0462 5.9810
angles (deg): 90.00 90.00 90.00
Last column: nearest neighbours and their distance in Å.
Space group I-42d (No. 122)
Inequivalent atoms, fractional coordinates:
1 La 0.0000 0.0000 0.0000 x4  2 Zr 2.99, 4 Zn 3.15
2 Zr 0.0000 0.0000 0.5000 x4  4 Zn 2.75, 2 La 2.99
3 Zn 0.2139 0.2500 0.6250 x8  2 Zr 2.75, 2 Zn 3.05

Summary:
- Magnetization: 0.00 Bohr magnetons per cell
- Fermi-level density of states: 5.1 states/eV/f.u.
- Energy: -0.28259 Ry/atom
- V: 24.20 Å³ per atom
- Relative energy among the computed polymorphs: 403 meV per atom

***

# 9
Material: LaZrZn2
Method: DFT, PBE-GGA
State: optimized geometry

a b c (Å): 7.0912 7.0912 7.0912
angles (deg): 90.00 90.00 90.00
Last column: nearest neighbours and their distance in Å.
Space group F-43m (No. 216)
Inequivalent atoms, fractional coordinates:
1 La 0.0000 0.0000 0.0000 x4  4 Zn 3.07, 4 Zr 3.07
2 Zr 0.2500 0.2500 0.2500 x4  4 La 3.07, 4 Zn 3.07
3 Zn 0.0000 0.0000 0.5000 x4  4 Zr 3.07, 4 Zn 3.07
4 Zn 0.2500 0.2500 0.7500 x4  4 La 3.07, 4 Zn 3.07

Summary:
- Magnetization: 9.24 Bohr magnetons per cell
- Fermi-level density of states: 3.4 states/eV/f.u.
- Energy: -0.27629 Ry/atom
- V: 22.29 Å³ per atom
- Relative energy among the computed polymorphs: 488 meV per atom

***

# 10
Material: LaZr2Zn6
Method: DFT, PBE-GGA
State: optimized geometry

a b c (Å): 3.4078 7.8033 13.2698
angles (deg): 90.00 90.00 90.00
Last column: nearest neighbours and their distance in Å.
Space group Immm (No. 71)
Inequivalent atoms, fractional coordinates:
1 La 0.0000 0.0000 0.0000 x2  12 Zn 3.13-3.25, 2 La 3.41
2 Zr 0.0000 0.5000 0.1449 x4  10 Zn 2.80-2.99
3 Zn 0.0000 0.1637 0.5000 x4  3 Zn 2.55-2.60
4 Zn 0.0000 0.3105 0.3241 x8  3 Zn 2.60-2.77, 1 Zr 2.80

Summary:
- Magnetization: 0.00 Bohr magnetons per cell
- Fermi-level density of states: 6.1 states/eV/f.u.
- Energy: -0.25641 Ry/atom
- V: 19.60 Å³ per atom

***

# 11
Material: LaZr2Zn2
Method: DFT, PBE-GGA
State: optimized geometry

a b c (Å): 4.3513 4.3513 12.5246
angles (deg): 90.00 90.00 90.00
Last column: nearest neighbours and their distance in Å.
Space group I4/mmm (No. 139)
Inequivalent atoms, fractional coordinates:
1 La 0.0000 0.0000 0.0000 x2  8 Zn 3.33
2 Zr 0.0000 0.5000 0.2500 x4  4 Zn 2.87, 4 Zr 3.08
3 Zn 0.0000 0.0000 0.3988 x4  1 Zn 2.53

Summary:
- Magnetization: 0.00 Bohr magnetons per cell
- Fermi-level density of states: 7.4 states/eV/f.u.
- Energy: -0.36751 Ry/atom
- V: 23.71 Å³ per atom
- Relative energy among the computed polymorphs: 2 meV per atom

***

# 12
Material: LaZrZn4
Method: DFT, PBE-GGA
State: optimized geometry

a b c (Å): 7.7032 7.7032 7.7032
angles (deg): 90.00 90.00 90.00
Last column: nearest neighbours and their distance in Å.
Space group F-43m (No. 216)
Inequivalent atoms, fractional coordinates:
1 La 0.0000 0.0000 0.0000 x4  12 Zn 3.20, 4 Zr 3.34
2 Zr 0.2500 0.2500 0.2500 x4  12 Zn 3.19, 4 La 3.34
3 Zn 0.1232 0.1232 0.6232 x16  6 Zn 2.69-2.76

Summary:
- Magnetization: 3.81 Bohr magnetons per cell
- Fermi-level density of states: 4.7 states/eV/f.u.
- Energy: -0.24435 Ry/atom
- V: 19.05 Å³ per atom
- Relative energy among the computed polymorphs: 89 meV per atom

***

Please write out number 7 again, unchanged.
Material: LaZrZn3
Method: DFT, PBE-GGA
State: optimized geometry

a b c (Å): 5.1030 5.1030 5.1030
angles (deg): 90.00 90.00 90.00
Last column: nearest neighbours and their distance in Å.
Space group Pm-3m (No. 221)
Inequivalent atoms, fractional coordinates:
1 La 0.0000 0.0000 0.0000 x1  12 Zn 3.61
2 Zr 0.5000 0.5000 0.5000 x1  6 Zn 2.55
3 Zn 0.0000 0.5000 0.5000 x3  2 Zr 2.55

Summary:
- Magnetization: 0.44 Bohr magnetons per cell
- Fermi-level density of states: 6.5 states/eV/f.u.
- Energy: -0.23016 Ry/atom
- V: 26.58 Å³ per atom
- Relative energy among the computed polymorphs: 0 meV per atom

***

The highest Fermi-level density of states belongs to which entry? number 11

***

What is the formula in the eleventh record? LaZr2Zn2

***

Copy entry 2 word for word.
Material: LaZrZn2
Method: DFT, PBE-GGA
State: optimized geometry

a b c (Å): 3.4587 4.3662 6.2576
angles (deg): 90.00 105.92 90.00
Last column: nearest neighbours and their distance in Å.
Space group Pm (No. 6)
Inequivalent atoms, fractional coordinates:
1 La 0.0000 0.0000 0.0000 x1  7 Zn 3.11-3.36, 2 La 3.46
2 Zr 0.3066 0.5000 0.6166 x1  6 Zn 2.90-2.91
3 Zn 0.6142 0.5000 0.2290 x1  2 Zn 2.65, 2 Zr 2.90
4 Zn 0.7372 0.0000 0.4784 x1  2 Zn 2.65, 4 Zr 2.90-2.91

Summary:
- Magnetization: 0.00 Bohr magnetons per cell
- Fermi-level density of states: 4.0 states/eV/f.u.
- Energy: -0.30591 Ry/atom
- V: 22.72 Å³ per atom
- Relative energy among the computed polymorphs: 85 meV per atom